DFT (GGA-PBE) results for a geometry-optimized Pm3Tm7Th structure.

Calculated volume ... 367 Å³ per cell
Size of the total moment ... 0.00 μB/f.u.
E_form ... 0.18 eV/atom
Symmetry ... P3m1

Unit cell a=8.669 b=6.988 c=6.988 alpha=120.00 beta=90.00 gamma=90.00
Atoms (fractional coordinates):
Pm 0.782 0.498 0.502
Pm 0.782 0.498 0.997
Pm 0.782 0.003 0.502
Tm 0.445 0.334 0.167
Tm 0.445 0.833 0.167
Tm 0.123 0.169 0.831
Tm 0.123 0.169 0.337
Tm 0.123 0.663 0.831
Tm 0.445 0.833 0.666
Tm 0.121 0.667 0.333
Th 0.445 0.333 0.667